Crystalline CsCaNdF6 at its relaxed geometry, computed with PBE.

For the density, the calculation gives 3.28 g cm⁻³. Its density of states at the Fermi level is 0.00 states/eV/f.u. The uncorrected energy is -5.79 eV per atom.

It has space group Imma (No. 74), with a = 8.3283 Å, b = 8.6599 Å, c = 12.0896 Å, α = 90.00°, β = 90.00° and γ = 90.00°. The distinct sites, in fractional coordinates, are Cs at (0.0000, 0.2500, 0.0502), Ca at (0.2500, 0.2500, 0.7500), Nd at (0.0000, 0.0000, 0.5000), F at (0.0000, 0.2500, 0.4312), F at (0.0000, 0.2500, 0.8124) and F at (0.2042, 0.0679, 0.6159).